The following is a DFT calculation (PBE) of a relaxed CaSi2Os2 crystal.

Computed properties:
Calculated total energy, eV/atom: -7.306
ΔE_f (raw), eV per atom: -0.245
Volume, Å³ per cell: 153.8
D(E_F), states/eV/f.u.: 1.7

Unit cell a=7.3164 b=7.3164 c=2.8723 alpha=90.00 beta=90.00 gamma=90.00
Space group P4/mbm (No. 127)
Symmetry-distinct sites (fractional):
Ca 0.0000 0.0000 0.0000 (multiplicity 2)
Si 0.1384 0.3616 0.0000 (multiplicity 4)
Os 0.1494 0.6494 0.5000 (multiplicity 4)